(1)
Below is an optimized crystal structure of SmCo5, with properties calculated at the GGA-PBE level.

```
SmCo5
1.0
4.941 0.000 0.000
-2.471 4.279 0.000
0.000 0.000 3.936
Sm Co
1 5
Direct
0.000 0.000 0.000
0.000 0.500 0.500
0.333 0.667 0.000
0.500 0.000 0.500
0.500 0.500 0.500
0.667 0.333 0.000
```

Values from the calculation:
* energy of formation from the pure elements: -0.064 eV per atom
* symmetry: P6/mmm, No. 191

(2)
Below is an optimized crystal structure of Sm3Co, with properties calculated at the GGA-PBE level.

```
Sm3Co
1.0
7.361 0.000 0.000
-3.680 6.374 0.000
0.000 0.000 4.403
Sm Co
6 2
Direct
0.188 0.375 0.250
0.188 0.812 0.250
0.375 0.188 0.750
0.625 0.812 0.250
0.812 0.188 0.750
0.812 0.625 0.750
0.333 0.667 0.750
0.667 0.333 0.250
```

Values from the calculation:
* energy of formation from the pure elements: 0.194 eV per atom
* symmetry: P6_3/mmc, No. 194

(3)
Below is an optimized crystal structure of Sm2Co17, with properties calculated at the GGA-PBE level.

```
Sm2Co17
1.0
8.298 0.000 0.000
-4.149 7.186 0.000
0.000 0.000 8.084
Sm Co
4 34
Direct
0.000 0.000 0.250
0.000 0.000 0.750
0.333 0.667 0.250
0.667 0.333 0.750
0.000 0.500 0.000
0.000 0.500 0.500
0.048 0.378 0.750
0.048 0.671 0.750
0.167 0.334 0.021
0.167 0.334 0.479
0.167 0.833 0.021
0.167 0.833 0.479
0.329 0.378 0.750
0.329 0.952 0.750
0.333 0.667 0.608
0.333 0.667 0.892
0.334 0.167 0.521
0.334 0.167 0.979
0.378 0.048 0.250
0.378 0.329 0.250
0.500 0.000 0.000
0.500 0.000 0.500
0.500 0.500 0.000
0.500 0.500 0.500
0.622 0.671 0.750
0.622 0.952 0.750
0.666 0.833 0.021
0.666 0.833 0.479
0.667 0.333 0.108
0.667 0.333 0.392
0.671 0.048 0.250
0.671 0.622 0.250
0.833 0.167 0.521
0.833 0.167 0.979
0.833 0.666 0.521
0.833 0.666 0.979
0.952 0.329 0.250
0.952 0.622 0.250
```

Values from the calculation:
* energy of formation from the pure elements: 0.116 eV per atom
* excess energy over the best structure of this formula in the dataset: 185 meV per atom
* symmetry: P6_3/mmc, No. 194

(4)
Below is an optimized crystal structure of Sm3Co, with properties calculated at the GGA-PBE level.

```
Sm3Co
1.0
7.036 0.000 0.000
0.000 9.697 0.000
0.000 0.000 6.349
Sm Co
12 4
Direct
0.045 0.250 0.144
0.174 0.069 0.675
0.174 0.431 0.675
0.326 0.569 0.175
0.326 0.931 0.175
0.455 0.750 0.644
0.545 0.250 0.356
0.674 0.069 0.825
0.674 0.431 0.825
0.826 0.569 0.325
0.826 0.931 0.325
0.955 0.750 0.856
0.113 0.750 0.445
0.387 0.250 0.945
0.613 0.750 0.055
0.887 0.250 0.555
```

Values from the calculation:
* energy of formation from the pure elements: -0.103 eV per atom
* symmetry: Pnma, No. 62

(5)
Below is an optimized crystal structure of SmCo2, with properties calculated at the GGA-PBE level.

```
SmCo2
1.0
5.138 0.000 0.000
0.000 5.138 0.000
0.000 0.000 4.311
Sm Co
2 4
Direct
0.000 0.000 0.000
0.500 0.500 0.500
0.169 0.169 0.500
0.331 0.669 0.000
0.669 0.331 0.000
0.831 0.831 0.500
```

Values from the calculation:
* energy of formation from the pure elements: 1.422 eV per atom
* symmetry: P4_2/mnm, No. 136

(6)
Below is an optimized crystal structure of Sm2Co, with properties calculated at the GGA-PBE level.

```
Sm2Co
1.0
0.000 5.621 5.621
5.621 0.000 5.621
5.621 5.621 0.000
Sm Co
4 2
Direct
0.000 0.000 0.000
0.000 0.000 0.500
0.000 0.500 0.000
0.500 0.000 0.000
0.125 0.125 0.125
0.875 0.875 0.875
```

Values from the calculation:
* energy of formation from the pure elements: 0.994 eV per atom
* symmetry: Fd-3m, No. 227

(7)
Below is an optimized crystal structure of Sm2Co17, with properties calculated at the GGA-PBE level.

```
Sm2Co17
1.0
4.152 2.397 4.031
-4.152 2.397 4.031
0.000 -4.795 4.031
Sm Co
2 17
Direct
0.155 0.155 0.155
0.845 0.845 0.845
0.000 0.500 0.500
0.155 0.155 0.649
0.155 0.649 0.155
0.213 0.500 0.787
0.213 0.787 0.500
0.351 0.845 0.845
0.404 0.404 0.404
0.500 0.000 0.500
0.500 0.213 0.787
0.500 0.500 0.000
0.500 0.787 0.213
0.596 0.596 0.596
0.649 0.155 0.155
0.787 0.213 0.500
0.787 0.500 0.213
0.845 0.351 0.845
0.845 0.845 0.351
```

Values from the calculation:
* energy of formation from the pure elements: -0.070 eV per atom
* excess energy over the best structure of this formula in the dataset: 0 meV per atom
* symmetry: R-3m, No. 166

(8)
Below is an optimized crystal structure of SmCo2, with properties calculated at the GGA-PBE level.

```
SmCo2
1.0
0.000 3.625 3.625
3.625 0.000 3.625
3.625 3.625 0.000
Sm Co
2 4
Direct
0.125 0.125 0.125
0.875 0.875 0.875
0.000 0.500 0.500
0.500 0.000 0.500
0.500 0.500 0.000
0.500 0.500 0.500
```

Values from the calculation:
* energy of formation from the pure elements: -0.095 eV per atom
* symmetry: Fd-3m, No. 227

(9)
Below is an optimized crystal structure of Sm3Co, with properties calculated at the GGA-PBE level.

```
Sm3Co
1.0
0.000 3.668 3.668
3.668 0.000 3.668
3.668 3.668 0.000
Sm Co
3 1
Direct
0.000 0.000 0.000
0.250 0.250 0.250
0.750 0.750 0.750
0.500 0.500 0.500
```

Values from the calculation:
* energy of formation from the pure elements: 0.374 eV per atom
* symmetry: Fm-3m, No. 225

(10)
Below is an optimized crystal structure of SmCoSn, with properties calculated at the GGA-PBE level.

```
SmCoSn
1.0
0.000 3.260 3.260
3.260 0.000 3.260
3.260 3.260 0.000
Sm Co Sn
1 1 1
Direct
0.000 0.000 0.000
0.250 0.250 0.250
0.500 0.500 0.500
```

Values from the calculation:
* symmetry: F-43m, No. 216

(11)
Below is an optimized crystal structure of SmCoSn, with properties calculated at the GGA-PBE level.

```
SmCoSn
1.0
0.000 3.446 3.446
3.446 0.000 3.446
3.446 3.446 0.000
Sm Co Sn
1 1 1
Direct
0.000 0.000 0.000
0.750 0.750 0.750
0.250 0.250 0.250
```

Values from the calculation:
* symmetry: F-43m, No. 216

(12)
Below is an optimized crystal structure of SrSmCo, with properties calculated at the GGA-PBE level.

```
SrSmCo
1.0
0.000 3.458 3.458
3.458 0.000 3.458
3.458 3.458 0.000
Sr Sm Co
1 1 1
Direct
0.000 0.000 0.000
0.500 0.500 0.500
0.750 0.750 0.750
```

Values from the calculation:
* excess energy over the best structure of this formula in the dataset: 0 meV per atom
* symmetry: F-43m, No. 216

(13)
Below is an optimized crystal structure of SmTaCo, with properties calculated at the GGA-PBE level.

```
SmTaCo
1.0
0.000 3.138 3.138
3.138 0.000 3.138
3.138 3.138 0.000
Sm Ta Co
1 1 1
Direct
0.000 0.000 0.000
0.250 0.250 0.250
0.750 0.750 0.750
```

Values from the calculation:
* energy of formation from the pure elements: 1.551 eV per atom
* symmetry: F-43m, No. 216

(14)
Below is an optimized crystal structure of TbSmCo, with properties calculated at the GGA-PBE level.

```
TbSmCo
1.0
0.000 3.324 3.324
3.324 0.000 3.324
3.324 3.324 0.000
Tb Sm Co
1 1 1
Direct
0.000 0.000 0.000
0.750 0.750 0.750
0.500 0.500 0.500
```

Values from the calculation:
* energy of formation from the pure elements: 0.787 eV per atom
* symmetry: F-43m, No. 216

(15)
Below is an optimized crystal structure of TbSmTlCo2, with properties calculated at the GGA-PBE level.

```
TbSmTlCo2
1.0
3.873 0.000 0.000
0.000 1.934 7.118
0.000 -1.934 7.118
Tb Sm Tl Co
1 1 1 2
Direct
0.000 0.000 0.000
0.000 0.722 0.722
0.500 0.362 0.362
0.500 0.152 0.152
0.500 0.566 0.566
```

Values from the calculation:
* symmetry: Amm2, No. 38

(16)
Below is an optimized crystal structure of SmCoTc, with properties calculated at the GGA-PBE level.

```
SmCoTc
1.0
0.000 3.145 3.145
3.145 0.000 3.145
3.145 3.145 0.000
Sm Co Tc
1 1 1
Direct
0.000 0.000 0.000
0.750 0.750 0.750
0.250 0.250 0.250
```

Values from the calculation:
* energy of formation from the pure elements: 1.292 eV per atom
* symmetry: F-43m, No. 216

(17)
Below is an optimized crystal structure of SmTlCoTe3, with properties calculated at the GGA-PBE level.

```
SmTlCoTe3
1.0
2.122 -7.929 0.000
2.122 7.929 0.000
0.000 0.000 11.531
Sm Tl Co Te
2 2 2 6
Direct
0.000 0.000 0.000
0.000 0.000 0.500
0.249 0.751 0.750
0.751 0.249 0.250
0.473 0.527 0.250
0.527 0.473 0.750
0.072 0.928 0.250
0.368 0.632 0.078
0.368 0.632 0.422
0.632 0.368 0.578
0.632 0.368 0.922
0.928 0.072 0.750
```

Values from the calculation:
* symmetry: Cmcm, No. 63

(18)
Below is an optimized crystal structure of SmTlCoTe3, with properties calculated at the GGA-PBE level.

```
SmTlCoTe3
1.0
11.584 0.000 0.000
0.000 4.251 0.000
0.000 0.000 15.638
Sm Tl Co Te
4 4 4 12
Direct
0.015 0.250 0.239
0.485 0.750 0.739
0.515 0.250 0.261
0.985 0.750 0.761
0.216 0.750 0.500
0.284 0.250 0.000
0.716 0.750 0.000
0.784 0.250 0.500
0.240 0.250 0.720
0.260 0.750 0.220
0.740 0.250 0.780
0.760 0.750 0.280
0.058 0.250 0.624
0.095 0.750 0.107
0.241 0.750 0.820
0.259 0.250 0.320
0.405 0.250 0.607
0.442 0.750 0.124
0.558 0.250 0.876
0.595 0.750 0.393
0.741 0.750 0.680
0.759 0.250 0.180
0.905 0.250 0.893
0.942 0.750 0.376
```

Values from the calculation:
* symmetry: Pnma, No. 62

(19)
Below is an optimized crystal structure of Sm2ThCo2, with properties calculated at the GGA-PBE level.

```
Sm2ThCo2
1.0
5.322 -3.106 0.000
5.322 3.106 0.000
-1.348 0.000 7.039
Sm Th Co
4 2 4
Direct
0.052 0.257 0.150
0.257 0.052 0.650
0.743 0.948 0.350
0.948 0.743 0.850
0.422 0.578 0.250
0.578 0.422 0.750
0.187 0.502 0.490
0.498 0.813 0.010
0.502 0.187 0.990
0.813 0.498 0.510
```

Values from the calculation:
* energy of formation from the pure elements: -0.216 eV per atom
* symmetry: C2/c, No. 15

(20)
Below is an optimized crystal structure of Sm12TlCo6, with properties calculated at the GGA-PBE level.

```
Sm12TlCo6
1.0
-4.939 4.939 4.939
4.939 -4.939 4.939
4.939 4.939 -4.939
Sm Tl Co
12 1 6
Direct
0.112 0.807 0.305
0.193 0.305 0.498
0.193 0.695 0.888
0.305 0.112 0.807
0.305 0.498 0.193
0.498 0.193 0.305
0.502 0.807 0.695
0.695 0.502 0.807
0.695 0.888 0.193
0.807 0.305 0.112
0.807 0.695 0.502
0.888 0.193 0.695
0.000 0.000 0.000
0.112 0.612 0.500
0.388 0.500 0.888
0.500 0.112 0.612
0.500 0.888 0.388
0.612 0.500 0.112
0.888 0.388 0.500
```

Values from the calculation:
* symmetry: Im-3, No. 204

(21)
Below is an optimized crystal structure of Sm6TlCo2, with properties calculated at the GGA-PBE level.

```
Sm6TlCo2
1.0
-4.767 4.994 5.069
4.767 -4.994 5.069
4.767 4.994 -5.069
Sm Tl Co
12 2 4
Direct
0.027 0.234 0.793
0.184 0.286 0.470
0.184 0.714 0.897
0.324 0.010 0.686
0.324 0.638 0.314
0.441 0.234 0.207
0.559 0.766 0.793
0.676 0.362 0.686
0.676 0.990 0.314
0.816 0.286 0.103
0.816 0.714 0.530
0.973 0.766 0.207
0.000 0.000 0.000
0.500 0.500 0.000
0.111 0.611 0.500
0.343 0.000 0.343
0.657 0.000 0.657
0.889 0.389 0.500
```

Values from the calculation:
* symmetry: Immm, No. 71

(22)
Below is an optimized crystal structure of SmTmTlCo2, with properties calculated at the GGA-PBE level.

```
SmTmTlCo2
1.0
3.867 0.000 0.000
0.000 1.914 7.039
0.000 -1.914 7.039
Sm Tm Tl Co
1 1 1 2
Direct
0.000 0.000 0.000
0.000 0.279 0.279
0.500 0.641 0.641
0.500 0.429 0.429
0.500 0.841 0.841
```

Values from the calculation:
* symmetry: Amm2, No. 38

Which total moment belongs to each record? In order, 6.9, 0.0, 0.2, 0.0, 0.9, 0.0, 25.2, 1.8, 0.8, 1.6, 1.7, 0.0, 0.0, 0.0, 1.4, 2.9, 2.5, 2.6, 0.0, 0.6, 0.0, 1.4 μB per formula unit.
Which final energy belongs to each record? In order, -6.771, -5.116, -6.739, -5.413, -4.886, -4.515, -6.924, -6.403, -4.936, -5.578, -4.761, -4.189, -6.339, -4.696, -5.445, -6.101, -4.538, -4.538, -6.426, -5.516, -5.168, -5.422 eV/atom.